# Tb7Pr6Ho16 PBE optimized geometry
# ΔE_f = 0.235 eV per atom
# Calculated total energy = -4.3971 eV/atom
# Volume = 34.185 Å³ per atom
# Total magnetization = 0.0 μB/f.u.
data_Tb7Pr6Ho16
_chemical_formula_sum 'Tb28 Pr24 Ho64'
_space_group_name_H-M_alt 'F m -3 m'
_space_group_IT_number 225
_space_group_name_Hall '-F 4 2 3'
_cell_length_a 15.828
_cell_length_b 15.828
_cell_length_c 15.828
_cell_angle_alpha 90.00
_cell_angle_beta 90.00
_cell_angle_gamma 90.00
loop_
_atom_site_label
_atom_site_fract_x
_atom_site_fract_y
_atom_site_fract_z
Tb1 0.000 0.000 0.000
Tb2 0.000 0.250 0.250
Pr1 0.000 0.000 0.269
Ho1 0.128 0.128 0.128
Ho2 0.151 0.151 0.349